No. 1
YTi2Ir2: relaxed, PBEsol.

E = -9.4054 eV/atom
Spin magnetization = 0.00 μB/f.u.
Symmetry = No. 139
Volume = 18.711 Å³/atom
ΔE_f = -0.783 eV per atom

abc: 4.1903 4.1903 6.0966
angles: 110.10 110.10 90.00
Sites, in units of the cell vectors:
Y1 0.0000 0.0000 0.0000
Ir1 0.3804 0.3804 0.7607
Ir2 0.6196 0.6196 0.2393
Ti1 0.2500 0.7500 0.5000
Ti2 0.7500 0.2500 0.5000



No. 2
Cs2CdAu2: relaxed, PBEsol.

E = -2.2926 eV/atom
Spin magnetization = 0.00 μB/f.u.
Symmetry = No. 127
Volume = 31.631 Å³/atom
E above lowest polymorph = 0.0 kJ per mole of atoms
ΔE_f = -0.107 eV per atom

abc: 5.4425 7.6236 7.6236
angles: 90.00 90.00 90.00
Sites, in units of the cell vectors:
Cs1 0.5000 0.1738 0.6738
Cs2 0.5000 0.6738 0.8262
Cs3 0.5000 0.8262 0.3262
Cs4 0.5000 0.3262 0.1738
Au1 0.0000 0.3696 0.8696
Au2 0.0000 0.8696 0.6304
Au3 0.0000 0.6304 0.1304
Au4 0.0000 0.1304 0.3696
Cd1 0.0000 0.0000 0.0000
Cd2 0.0000 0.5000 0.5000



No. 3
FeSiNi2: relaxed, PBEsol.

E = -7.1513 eV/atom
Energy relative to the elements, uncorrected = -0.395 eV/atom
Spin magnetization = 2.25 μB/f.u.
Symmetry = No. 123
Volume = 10.537 Å³/atom

abc: 3.4588 3.4588 3.5231
angles: 90.00 90.00 90.00
Last column: magnetic moment on the atom in μB.
Sites, in units of the cell vectors:
Ni1 0.0000 0.5000 0.0000  0.23
Ni2 0.5000 0.0000 0.0000  0.23
Si1 0.5000 0.5000 0.5000  -0.05
Fe1 0.0000 0.0000 0.5000  1.93



No. 4
MnFeSb: relaxed, PBEsol.

E = -7.5760 eV/atom
Energy relative to the elements, uncorrected = 0.185 eV/atom
Spin magnetization = 5.29 μB/f.u.
Symmetry = No. 107
Volume = 14.711 Å³/atom

abc: 3.3158 3.3158 4.6486
angles: 110.89 110.89 90.00
Last column: magnetic moment on the atom in μB.
Sites, in units of the cell vectors:
Fe1 0.9946 0.9946 0.9893  2.35
Mn1 0.3390 0.3390 0.6781  2.93
Sb1 0.6663 0.6663 0.3326  -0.05